Entry 1:
P3SeN: relaxed, PBE.

The structure in CIF format:
```
data_P3SeN
_chemical_formula_sum 'P3 Se1 N1'
_cell_length_a 4.251
_cell_length_b 4.298
_cell_length_c 5.008
_cell_angle_alpha 82.34
_cell_angle_beta 74.12
_cell_angle_gamma 76.52
_symmetry_space_group_name_H-M 'P 1'
_symmetry_Int_Tables_number 1
_symmetry_space_group_name_Hall 'P 1'
loop_
_atom_site_label
_atom_site_fract_x
_atom_site_fract_y
_atom_site_fract_z
P1 0.000 0.000 0.000
P2 0.016 0.366 0.284
P3 0.680 0.584 0.931
Se1 0.391 0.060 0.577
N1 0.271 0.626 0.094
```

Results
ΔE_f (raw) = 1.300 eV/f.u.
excess energy over the best structure of this formula in the dataset = 0.80 eV/f.u.
density of states at the Fermi level = 0.264 states/eV per atom
final energy = -5.348 eV/atom
calculated volume = 85 Å³ per cell

Entry 2:
P3SeN: relaxed, PBE.

The structure in CIF format:
```
data_P3SeN
_chemical_formula_sum 'P3 Se1 N1'
_cell_length_a 5.554
_cell_length_b 3.416
_cell_length_c 6.837
_cell_angle_alpha 90.00
_cell_angle_beta 113.73
_cell_angle_gamma 90.00
_symmetry_space_group_name_H-M 'P 1 m 1'
_symmetry_Int_Tables_number 6
_symmetry_space_group_name_Hall 'P -2y'
loop_
_atom_site_label
_atom_site_fract_x
_atom_site_fract_y
_atom_site_fract_z
P1 0.000 0.000 0.000
P2 0.214 0.500 0.599
P3 0.476 0.000 0.576
Se1 0.318 0.500 0.961
N1 0.730 0.000 0.808
```

Results
ΔE_f (raw) = 0.648 eV/f.u.
excess energy over the best structure of this formula in the dataset = 0.15 eV/f.u.
final energy = -5.478 eV/atom
calculated volume = 119 Å³ per cell

Entry 3:
Sm8P3Se4N: relaxed, PBE.

The structure in CIF format:
```
data_Sm8P3Se4N
_chemical_formula_sum 'Sm24 P9 Se12 N3'
_cell_length_a 8.0843
_cell_length_b 8.0843
_cell_length_c 20.4651
_cell_angle_alpha 90.00
_cell_angle_beta 90.00
_cell_angle_gamma 120.00
_symmetry_space_group_name_H-M 'R -3 m'
_symmetry_Int_Tables_number 166
_symmetry_space_group_name_Hall '-R 3 2"'
loop_
_atom_site_label
_atom_site_fract_x
_atom_site_fract_y
_atom_site_fract_z
Sm1 0.0000 0.0000 0.2434
Sm2 0.0184 0.5092 0.2393
P1 0.0000 0.5000 0.5000
Se1 0.0000 0.0000 0.0000
Se2 0.0000 0.5000 0.0000
N1 0.0000 0.0000 0.5000
```

Results
ΔE_f (raw) = -27.447 eV/f.u.
density of states at the Fermi level = 0.336 states/eV per atom
final energy = -6.481 eV/atom
calculated volume = 1158 Å³ per cell

Entry 4:
Tb6P2Se3N: relaxed, PBE.

The structure in CIF format:
```
data_Tb6P2Se3N
_chemical_formula_sum 'Tb12 P4 Se6 N2'
_cell_length_a 17.546
_cell_length_b 3.932
_cell_length_c 8.071
_cell_angle_alpha 90.00
_cell_angle_beta 105.11
_cell_angle_gamma 90.00
_symmetry_space_group_name_H-M 'C 1 2/m 1'
_symmetry_Int_Tables_number 12
_symmetry_space_group_name_Hall '-C 2y'
loop_
_atom_site_label
_atom_site_fract_x
_atom_site_fract_y
_atom_site_fract_z
Tb1 0.002 0.000 0.212
Tb2 0.145 0.500 0.082
Tb3 0.169 0.500 0.573
P1 0.165 0.000 0.330
Se1 0.000 0.500 0.500
Se2 0.170 0.000 0.838
N1 0.000 0.500 0.000
```

Results
ΔE_f (raw) = -20.749 eV/f.u.
density of states at the Fermi level = 0.313 states/eV per atom
final energy = -6.511 eV/atom
calculated volume = 538 Å³ per cell

Entry 5:
TcPSeN2: relaxed, PBE.

The structure in CIF format:
```
data_TcPSeN2
_chemical_formula_sum 'Tc1 P1 Se1 N2'
_cell_length_a 3.411
_cell_length_b 3.411
_cell_length_c 7.433
_cell_angle_alpha 90.00
_cell_angle_beta 90.00
_cell_angle_gamma 90.00
_symmetry_space_group_name_H-M 'P 4/m m m'
_symmetry_Int_Tables_number 123
_symmetry_space_group_name_Hall '-P 4 2'
loop_
_atom_site_label
_atom_site_fract_x
_atom_site_fract_y
_atom_site_fract_z
Tc1 0.000 0.000 0.000
P1 0.500 0.500 0.500
Se1 0.500 0.500 0.000
N1 0.000 0.500 0.500
```

Results
ΔE_f (raw) = 5.731 eV/f.u.
excess energy over the best structure of this formula in the dataset = 1.53 eV/f.u.
density of states at the Fermi level = 0.673 states/eV per atom
final energy = -6.036 eV/atom
calculated volume = 86 Å³ per cell

Entry 6:
TcPSeN2: relaxed, PBE.

The structure in CIF format:
```
data_TcPSeN2
_chemical_formula_sum 'Tc1 P1 Se1 N2'
_cell_length_a 3.804
_cell_length_b 3.804
_cell_length_c 5.491
_cell_angle_alpha 90.00
_cell_angle_beta 90.00
_cell_angle_gamma 90.00
_symmetry_space_group_name_H-M 'P 4/m m m'
_symmetry_Int_Tables_number 123
_symmetry_space_group_name_Hall '-P 4 2'
loop_
_atom_site_label
_atom_site_fract_x
_atom_site_fract_y
_atom_site_fract_z
Tc1 0.000 0.000 0.000
P1 0.500 0.500 0.500
Se1 0.000 0.000 0.500
N1 0.000 0.500 0.000
```

Results
ΔE_f (raw) = 4.204 eV/f.u.
excess energy over the best structure of this formula in the dataset = 0.00 eV/f.u.
density of states at the Fermi level = 0.672 states/eV per atom
final energy = -6.341 eV/atom
calculated volume = 79 Å³ per cell

Entry 7:
TePSe2N: relaxed, PBE.

The structure in CIF format:
```
data_TePSe2N
_chemical_formula_sum 'Te1 P1 Se2 N1'
_cell_length_a 5.370
_cell_length_b 5.370
_cell_length_c 3.902
_cell_angle_alpha 90.00
_cell_angle_beta 90.00
_cell_angle_gamma 90.00
_symmetry_space_group_name_H-M 'P 4/m m m'
_symmetry_Int_Tables_number 123
_symmetry_space_group_name_Hall '-P 4 2'
loop_
_atom_site_label
_atom_site_fract_x
_atom_site_fract_y
_atom_site_fract_z
Te1 0.000 0.000 0.000
P1 0.500 0.500 0.500
Se1 0.000 0.500 0.000
N1 0.000 0.000 0.500
```

Results
ΔE_f (raw) = 6.525 eV/f.u.
excess energy over the best structure of this formula in the dataset = 3.70 eV/f.u.
density of states at the Fermi level = 0.779 states/eV per atom
final energy = -3.464 eV/atom
calculated volume = 112 Å³ per cell

Entry 8:
TePSe2N: relaxed, PBE.

The structure in CIF format:
```
data_TePSe2N
_chemical_formula_sum 'Te1 P1 Se2 N1'
_cell_length_a 5.226
_cell_length_b 5.226
_cell_length_c 3.346
_cell_angle_alpha 90.00
_cell_angle_beta 90.00
_cell_angle_gamma 90.00
_symmetry_space_group_name_H-M 'P 4/m m m'
_symmetry_Int_Tables_number 123
_symmetry_space_group_name_Hall '-P 4 2'
loop_
_atom_site_label
_atom_site_fract_x
_atom_site_fract_y
_atom_site_fract_z
Te1 0.000 0.000 0.000
P1 0.500 0.500 0.500
Se1 0.000 0.500 0.500
N1 0.500 0.500 0.000
```

Results
ΔE_f (raw) = 2.825 eV/f.u.
excess energy over the best structure of this formula in the dataset = 0.00 eV/f.u.
density of states at the Fermi level = 0.637 states/eV per atom
final energy = -4.204 eV/atom
calculated volume = 91 Å³ per cell